[1]
3
Lattice="3.424 0.000 0.000 -1.712 2.965 0.000 0.000 0.000 3.486" Properties=species:S:1:pos:R:3 comment="TaSiH | Alexandria via LeMat-Bulk | PBE | optimized geometry" mass_density_g_cm3=9.9 dos_at_fermi_per_ev_cell=0.49 polymorph_energy_ev_per_atom=0.000 sg="P3m1, No. 156" pbc="T T T"
Ta 0.000 0.000 0.000
Si 0.000 1.977 1.750
H 1.712 0.988 0.096

[2]
5
Lattice="-1.951 1.951 5.362 1.951 -1.951 5.362 1.951 1.951 -5.362" Properties=species:S:1:pos:R:3 comment="AcB2Rh2 | Alexandria via LeMat-Bulk | PBE | optimized geometry" mass_density_g_cm3=9.2 formation_energy_ev_per_atom=-0.5899 dos_at_fermi_per_ev_cell=1.63 polymorph_energy_ev_per_atom=0.023 sg="I4/mmm, No. 139" pbc="T T T"
Ac 0.000 0.000 0.000
B 0.000 0.000 3.585
B 0.000 0.000 7.139
Rh 1.951 0.000 2.681
Rh 0.000 1.951 2.681

[3]
10
Lattice="0.000 4.681 4.681 4.681 0.000 4.681 4.681 4.681 0.000" Properties=species:S:1:pos:R:3 comment="Ce2ZnCuPt6 | Alexandria via LeMat-Bulk | PBE | optimized geometry" mass_density_g_cm3=12.8 formation_energy_ev_per_atom=-0.2057 dos_at_fermi_per_ev_cell=17.48 sg="Fm-3m, No. 225" pbc="T T T"
Ce 2.340 2.340 2.340
Ce 7.021 7.021 7.021
Zn 0.000 0.000 0.000
Cu 4.681 4.681 4.681
Pt 4.681 4.681 2.346
Pt 4.681 2.346 4.681
Pt 7.016 4.681 4.681
Pt 2.346 4.681 4.681
Pt 4.681 7.016 4.681
Pt 4.681 4.681 7.016

[4]
11
Lattice="2.662 1.537 15.803 -2.662 1.537 15.803 0.000 -3.074 15.803" Properties=species:S:1:pos:R:3 comment="Nd4Sm5Sn2 | Alexandria via LeMat-Bulk | PBE | optimized geometry" mass_density_g_cm3=6.7 formation_energy_ev_per_atom=0.0767 dos_at_fermi_per_ev_cell=15.76 sg="R-3m, No. 166" pbc="T T T"
Nd 0.000 0.000 3.432
Nd 0.000 0.000 10.711
Nd 0.000 0.000 36.697
Nd 0.000 0.000 43.977
Sm 0.000 0.000 0.000
Sm 0.000 0.000 7.012
Sm 0.000 0.000 14.414
Sm 0.000 0.000 32.994
Sm 0.000 0.000 40.396
Sn 0.000 0.000 17.904
Sn 0.000 0.000 29.504

[5]
5
Lattice="4.064 0.000 0.000 0.000 4.064 0.000 0.000 0.000 4.449" Properties=species:S:1:pos:R:3 comment="Zn2AsPtC | Alexandria via LeMat-Bulk | PBE | optimized geometry" mass_density_g_cm3=9.3 formation_energy_ev_per_atom=0.5088 dos_at_fermi_per_ev_cell=2.46 sg="P4/mmm, No. 123" pbc="T T T"
Zn 0.000 2.032 0.000
Zn 2.032 0.000 0.000
As 0.000 0.000 2.224
Pt 2.032 2.032 2.224
C 2.032 2.032 0.000

[6]
11
Lattice="7.779 -3.313 0.000 7.779 3.313 0.000 -4.986 0.000 8.784" Properties=species:S:1:pos:R:3 comment="Rb2ThTe6Au2 | Alexandria via LeMat-Bulk | PBE | optimized geometry" mass_density_g_cm3=5.7 dos_at_fermi_per_ev_cell=8.40 formation_energy_uncorrected_ev_per_fu=-6.0 sg="C2/m, No. 12" pbc="T T T"
Rb 1.982 0.000 1.772
Rb 8.589 0.000 7.012
Th -2.493 0.000 4.392
Te 5.745 1.610 1.752
Te 0.376 0.000 5.294
Te 4.826 1.610 7.032
Te 5.745 -1.610 1.752
Te 10.195 0.000 3.490
Te 4.826 -1.610 7.032
Au 2.790 0.000 6.240
Au 7.781 0.000 2.545

[7]
3
Lattice="-1.455 1.455 7.826 1.455 -1.455 7.826 1.455 1.455 -7.826" Properties=species:S:1:pos:R:3 comment="Li2Ce | Alexandria via LeMat-Bulk | PBE | optimized geometry" mass_density_g_cm3=3.9 formation_energy_ev_per_atom=0.1515 dos_at_fermi_per_ev_cell=4.17 polymorph_energy_ev_per_atom=0.000 sg="I4/mmm, No. 139" pbc="T T T"
Li 0.000 0.000 2.778
Li 0.000 0.000 12.874
Ce 0.000 0.000 7.826

[8]
5
Lattice="4.373 0.000 0.000 0.000 4.373 0.000 0.000 0.000 5.281" Properties=species:S:1:pos:R:3 comment="BaOsIO2 | Alexandria via LeMat-Bulk | PBE | optimized geometry" mass_density_g_cm3=8.0 dos_at_fermi_per_ev_cell=3.97 formation_energy_uncorrected_ev_per_fu=-2.4 polymorph_energy_ev_per_atom=0.000 sg="P4/mmm, No. 123" pbc="T T T"
Ba 0.000 0.000 0.000
Os 2.187 2.187 2.640
I 2.187 2.187 0.000
O 0.000 2.187 2.640
O 2.187 0.000 2.640

[9]
6
Lattice="0.000 3.589 3.589 3.589 0.000 3.589 3.589 3.589 0.000" Properties=species:S:1:pos:R:3 comment="Li4MgNi | Alexandria via LeMat-Bulk | PBE | optimized geometry" mass_density_g_cm3=2.0 formation_energy_ev_per_atom=0.1496 dos_at_fermi_per_ev_cell=3.39 sg="F-43m, No. 216" pbc="T T T"
Li 2.703 2.703 2.703
Li 4.474 4.474 2.703
Li 4.474 2.703 4.474
Li 2.703 4.474 4.474
Mg 0.000 0.000 0.000
Ni 5.383 5.383 5.383

[10]
12
Lattice="8.348 -1.855 0.000 8.348 1.855 0.000 -1.885 0.000 7.549" Properties=species:S:1:pos:R:3 comment="Tm6SiC2S3 | Alexandria via LeMat-Bulk | PBE | optimized geometry" mass_density_g_cm3=8.3 dos_at_fermi_per_ev_cell=1.14 formation_energy_uncorrected_ev_per_fu=-15.5 sg="C2/m, No. 12" pbc="T T T"
Tm -0.240 0.000 1.983
Tm 4.563 0.000 3.303
Tm 3.846 0.000 6.638
Tm 10.964 0.000 0.911
Tm 10.247 0.000 4.246
Tm 15.050 0.000 5.566
Si 8.348 0.000 0.000
C 2.206 0.000 2.578
C 12.605 0.000 4.971
S 1.176 0.000 6.272
S 7.405 0.000 3.775
S 13.634 0.000 1.277

[11]
80
Lattice="-9.048 9.048 9.048 9.048 -9.048 9.048 9.048 9.048 -9.048" Properties=species:S:1:pos:R:3 comment="Li3Bi5Te12 | Alexandria via LeMat-Bulk | PBE | optimized geometry" mass_density_g_cm3=5.8 dos_at_fermi_per_ev_cell=55.16 formation_energy_uncorrected_ev_per_fu=-2.4 sg="Ia-3d, No. 230" pbc="T T T"
Li 4.524 2.262 0.000
Li 9.048 4.524 -2.262
Li 2.262 0.000 4.524
Li 11.310 0.000 4.524
Li 0.000 4.524 2.262
Li 4.524 -2.262 9.048
Li 4.524 11.310 0.000
Li 9.048 4.524 6.786
Li -2.262 9.048 4.524
Li 6.786 9.048 4.524
Li 0.000 4.524 11.310
Li 4.524 6.786 9.048
Bi 0.000 0.000 0.000
Bi 4.524 4.524 -4.524
Bi 4.524 -4.524 4.524
Bi 9.048 0.000 0.000
Bi 13.572 2.262 0.000
Bi 9.048 -4.524 6.786
Bi 6.786 9.048 -4.524
Bi 6.786 0.000 4.524
Bi 4.524 6.786 0.000
Bi 9.048 4.524 2.262
Bi -4.524 4.524 4.524
Bi 0.000 9.048 0.000
Bi 0.000 0.000 9.048
Bi 4.524 4.524 4.524
Bi 0.000 4.524 6.786
Bi 4.524 2.262 9.048
Bi 2.262 9.048 4.524
Bi 2.262 0.000 13.572
Bi 0.000 13.572 2.262
Bi -4.524 6.786 9.048
Te 2.807 -0.223 1.409
Te 10.765 5.933 -4.746
Te 8.825 -1.409 2.807
Te 13.794 -1.717 3.115
Te 11.855 0.223 1.409
Te 10.765 -3.115 4.746
Te 1.409 2.807 -0.223
Te 12.163 4.301 -1.717
Te 5.933 4.746 -1.717
Te 7.639 2.807 0.223
Te -0.223 1.409 2.807
Te 4.746 -1.717 5.933
Te 8.825 7.639 -2.807
Te 4.746 1.717 3.115
Te 7.639 -2.807 8.825
Te 5.933 -4.746 10.765
Te 3.115 4.746 1.717
Te 10.457 6.241 0.223
Te 2.807 8.825 -1.409
Te 10.765 3.115 4.301
Te 4.746 10.765 -3.115
Te 8.825 1.409 6.241
Te 1.717 3.115 4.746
Te 2.807 0.223 7.639
Te 6.241 8.825 1.409
Te 7.331 5.933 4.301
Te 0.223 7.639 2.807
Te 4.301 -1.717 12.163
Te -1.717 5.933 4.746
Te 6.241 0.223 10.457
Te -1.409 2.807 8.825
Te 5.933 4.301 7.331
Te 3.115 13.794 -1.717
Te 1.409 11.855 0.223
Te 4.301 7.331 5.933
Te 0.223 1.409 11.855
Te 4.301 10.765 3.115
Te 9.270 7.639 6.241
Te 1.409 6.241 8.825
Te 3.115 4.301 10.765
Te -3.115 4.746 10.765
Te 7.639 6.241 9.270
Te -1.717 12.163 4.301
Te -2.807 8.825 7.639
Te -4.746 10.765 5.933
Te 0.223 10.457 6.241
Te -1.717 3.115 13.794
Te 6.241 9.270 7.639

[12]
4
Lattice="3.561 0.000 0.000 0.000 3.561 0.000 0.000 0.000 10.263" Properties=species:S:1:pos:R:3 comment="TbSmTh2 | Alexandria via LeMat-Bulk | PBE | optimized geometry" mass_density_g_cm3=9.9 formation_energy_ev_per_atom=0.0672 dos_at_fermi_per_ev_cell=6.33 polymorph_energy_ev_per_atom=0.037 sg="P4/mmm, No. 123" pbc="T T T"
Tb 0.000 0.000 0.000
Sm 0.000 0.000 5.131
Th 1.780 1.780 2.542
Th 1.780 1.780 7.721